# 1
{"formula": "Th2PaTl", "functional": "GGA-PBE", "state": "optimized geometry", "lattice_angstrom": [[4.031, 0.000, 0.000], [0.000, 4.031, 0.000], [0.000, 0.000, 7.134]], "species": ["Tl", "Pa", "Th", "Th"], "fractional_positions": [[0.500, 0.500, 0.500], [0.500, 0.500, 0.000], [0.000, 0.000, 0.246], [0.000, 0.000, 0.754]], "formation_energy_ev_per_atom": 0.09, "crystal_system": "tetragonal", "polymorph_energy_mev_per_atom": 19, "final_energy_ev_per_atom": -6.585, "spacegroup": "P4/mmm (123)"}

=====

# 2
{"formula": "LiTh3Te6", "functional": "GGA-PBE", "state": "optimized geometry", "lattice_angstrom": [[7.545, 0.000, 0.000], [0.000, 9.611, 0.146], [0.000, -2.003, 9.402]], "species": ["Te", "Te", "Te", "Te", "Te", "Te", "Te", "Te", "Te", "Te", "Te", "Te", "Li", "Li", "Th", "Th", "Th", "Th", "Th", "Th"], "fractional_positions": [[0.679, 0.302, 0.370], [0.183, 0.032, 0.968], [0.658, 0.234, 0.766], [0.212, 0.448, 0.909], [0.179, 0.698, 0.630], [0.179, 0.370, 0.302], [0.712, 0.552, 0.091], [0.679, 0.630, 0.698], [0.158, 0.766, 0.234], [0.683, 0.968, 0.032], [0.212, 0.091, 0.552], [0.712, 0.909, 0.448], [0.022, 0.204, 0.796], [0.522, 0.796, 0.204], [0.482, 0.269, 0.068], [0.482, 0.932, 0.731], [0.982, 0.068, 0.269], [0.878, 0.605, 0.395], [0.982, 0.731, 0.932], [0.378, 0.395, 0.605]], "crystal_system": "orthorhombic", "raw_formation_energy_kj_per_mol_atoms": -111.0, "final_energy_ev_per_atom": -5.453, "spacegroup": "Cmc2_1 (36)"}